(1)
3
Lattice="-2.756 -1.620 2.103 0.619 -4.309 -2.508 2.661 0.885 4.168" Properties=species:S:1:pos:R:3 comment="LiEuPb | Alexandria via LeMat-Bulk | PBE | optimized geometry" formation_energy_ev_per_atom=-0.4479 relative_energy_mev_per_atom=0 sg="P-6m2 (187)" pbc="T T T"
Pb -0.459 -0.270 0.350
Eu 0.144 -1.927 3.345
Li 0.840 -2.848 0.068

(2)
4
Lattice="4.493 0.000 0.000 0.000 5.239 0.000 0.000 0.000 5.239" Properties=species:S:1:pos:R:3 comment="LiEu2Pb | Alexandria via LeMat-Bulk | PBE | optimized geometry" formation_energy_ev_per_atom=-0.3250 relative_energy_mev_per_atom=36 sg="P4/mmm (123)" pbc="T T T"
Pb 2.247 0.000 0.000
Eu 0.000 0.000 2.619
Eu 0.000 2.619 0.000
Li 2.247 2.619 2.619